[1]
Below is a relaxed CdSbRu2 crystal, with properties calculated at the PBEsol level.

The structure in POSCAR format:
```
CdSbRu2
1.0
-1.9599 1.9599 4.2628
1.9599 -1.9599 4.2628
1.9599 1.9599 -4.2628
Cd Sb Ru
1 1 2
direct
0.0000 0.0000 0.0000
0.2500 0.7500 0.5000
0.5000 0.5000 0.0000
0.7500 0.2500 0.5000
```

Results
Its uncorrected formation energy is 0.43 eV per atom.

[2]
Below is a relaxed Tl2ReRu crystal, with properties calculated at the PBEsol level.

The structure in POSCAR format:
```
Tl2ReRu
1.0
4.4882 -1.4998 0.0000
4.4882 1.4998 0.0000
-1.0009 0.0000 5.2383
Tl Re Ru
2 1 1
direct
0.2478 0.2478 0.2458
0.7522 0.7522 0.7542
0.0000 0.0000 0.5000
0.5000 0.5000 0.0000
```

Results
The offset from the most stable computed form is 0 meV/atom. For the formation energy, the calculation gives 0.932 eV/atom.

[3]
Below is a relaxed SrScOs2 crystal, with properties calculated at the PBEsol level.

The structure in POSCAR format:
```
SrScOs2
1.0
2.9845 0.0000 0.0000
0.0000 4.1264 0.0000
0.0000 0.0000 6.6194
Sr Sc Os
1 1 2
direct
0.0000 0.0000 0.0000
0.0000 0.0000 0.5000
0.5000 0.5000 0.3197
0.5000 0.5000 0.6803
```

Results
For the formation energy, the calculation gives 0.443 eV/atom.

[4]
Below is a relaxed CaScB2 crystal, with properties calculated at the PBEsol level.

The structure in POSCAR format:
```
CaScB2
1.0
0.0000 3.0689 3.0689
3.0689 0.0000 3.0689
3.0689 3.0689 0.0000
Ca Sc B
1 1 2
direct
0.0000 0.0000 0.0000
0.5000 0.5000 0.5000
0.2500 0.2500 0.2500
0.7500 0.7500 0.7500
```

Results
For the formation energy, the calculation gives 0.418 eV/atom.

Table of magnetic moment (μB per formula unit), in record order: 0.0; 0.0; 0.0; 0.0